First-principles (GGA-PBE) data for a relaxed structure of Zr3NpTl3Se8, as listed in the Alexandria database.

Cell: 7.7888 7.7901 9.2028 Å, 115.02 90.01 120.02°
With the nearest neighbours (Å) after each atom.
Element x y z (fractional)
1 Zr 0.5000 0.0000 0.5000  6 Se 2.74-2.76
2 Se 0.2418 0.9622 0.7038  2 Zr 2.74, 1 Np 2.86
3 Se 0.2668 0.5337 0.3007  3 Zr 2.76
4 Se 0.7582 0.5164 0.2962  2 Zr 2.74, 1 Np 2.86
5 Se 0.7582 0.0378 0.2962  2 Zr 2.74, 1 Np 2.86
6 Tl 0.0000 0.5000 0.0000  6 Se 3.30-3.31
7 Zr 0.5000 0.5000 0.5000  6 Se 2.74-2.76
8 Se 0.7208 0.9623 0.7037  2 Zr 2.74, 1 Np 2.86
9 Zr 0.0000 0.5000 0.5000  6 Se 2.74-2.76
10 Se 0.7332 0.4663 0.6993  3 Zr 2.76
11 Np 0.0000 0.0000 0.5000  6 Se 2.86
12 Se 0.2418 0.4836 0.7038  2 Zr 2.74, 1 Np 2.86
13 Se 0.2792 0.0377 0.2963  2 Zr 2.74, 1 Np 2.86
14 Tl 0.5000 0.5000 0.0000  6 Se 3.30-3.31
15 Tl 0.0000 0.0000 0.0000  6 Se 3.30-3.31

Computed properties:
- Calculated density: 6.9 g/cm³
- Energy relative to the elements, uncorrected: -1.037 eV/atom
- Fermi-level density of states: 13.93 states/eV/cell
- Symmetry: R-3m
- Total energy: -89.12 eV for the cell shown
- Magnetic moment: 4.515 μB per formula unit